Version 1
The following is a DFT calculation (GGA-PBE) of crystalline FeOs2Au at its relaxed geometry.

Calculated values
N(E_F)   15.31 states/eV per cell

The structure in CIF format:
```
data_FeOs2Au
_chemical_formula_sum 'Fe4 Os8 Au4'
_cell_length_a 6.209
_cell_length_b 6.209
_cell_length_c 6.209
_cell_angle_alpha 90.00
_cell_angle_beta 90.00
_cell_angle_gamma 90.00
_space_group_name_H-M_alt 'F -4 3 m'
_space_group_IT_number 216
_space_group_name_Hall 'F -4 2 3'
loop_
_atom_site_label
_atom_site_fract_x
_atom_site_fract_y
_atom_site_fract_z
Fe1 0.000 0.000 0.000
Os1 0.000 0.000 0.500
Os2 0.250 0.250 0.250
Au1 0.250 0.250 0.750
```

---

Version 2
The following is a DFT calculation (GGA-PBE) of crystalline FeOs2Au at its relaxed geometry.

Calculated values
N(E_F)   4.91 states/eV per cell

The structure in CIF format:
```
data_FeOs2Au
_chemical_formula_sum 'Fe1 Os2 Au1'
_cell_length_a 2.763
_cell_length_b 4.629
_cell_length_c 4.703
_cell_angle_alpha 90.00
_cell_angle_beta 90.00
_cell_angle_gamma 90.00
_space_group_name_H-M_alt 'P m m m'
_space_group_IT_number 47
loop_
_space_group_symop_operation_xyz
'x,y,z'
'-x,-y,-z'
'-x,-y,z'
'x,y,-z'
'x,-y,-z'
'-x,y,z'
'-x,y,-z'
'x,-y,z'
loop_
_atom_site_label
_atom_site_fract_x
_atom_site_fract_y
_atom_site_fract_z
Fe1 0.000 0.000 0.000
Os1 0.000 0.500 0.500
Os2 0.500 0.000 0.500
Au1 0.500 0.500 0.000
```

---

Version 3
The following is a DFT calculation (GGA-PBE) of crystalline FeOs2Au at its relaxed geometry.

Calculated values
N(E_F)   18.72 states/eV per cell

The structure in CIF format:
```
data_FeOs2Au
_chemical_formula_sum 'Fe4 Os8 Au4'
_cell_length_a 7.056
_cell_length_b 7.056
_cell_length_c 5.036
_cell_angle_alpha 90.00
_cell_angle_beta 90.00
_cell_angle_gamma 90.00
_space_group_name_H-M_alt 'I -4 2 d'
_space_group_IT_number 122
_space_group_name_Hall 'I -4 2bw'
loop_
_atom_site_label
_atom_site_fract_x
_atom_site_fract_y
_atom_site_fract_z
Fe1 0.000 0.000 0.000
Os1 0.190 0.750 0.125
Au1 0.000 0.000 0.500
```

---

Version 4
The following is a DFT calculation (GGA-PBE) of crystalline FeOs2Au at its relaxed geometry.

Calculated values
N(E_F)   7.03 states/eV per cell

The structure in CIF format:
```
data_FeOs2Au
_chemical_formula_sum 'Fe2 Os4 Au2'
_cell_length_a 9.315
_cell_length_b 2.740
_cell_length_c 4.701
_cell_angle_alpha 90.00
_cell_angle_beta 102.69
_cell_angle_gamma 90.00
_space_group_name_H-M_alt 'C 1 2/m 1'
_space_group_IT_number 12
loop_
_space_group_symop_operation_xyz
'x,y,z'
'-x,-y,-z'
'-x,y,-z'
'x,-y,z'
'x+1/2,y+1/2,z'
'-x+1/2,-y+1/2,-z'
'-x+1/2,y+1/2,-z'
'x+1/2,-y+1/2,z'
loop_
_atom_site_label
_atom_site_fract_x
_atom_site_fract_y
_atom_site_fract_z
Fe1 0.000 0.000 0.000
Os1 0.231 0.500 0.226
Au1 0.000 0.500 0.500
```

---

Which is most stable, and by how much? version 4, by 240 meV/atom.

---

Version 1
The following is a DFT calculation (GGA-PBE) of crystalline FeOs2Au at its relaxed geometry.

Calculated values
N(E_F)   3.99 states/eV per cell

The structure in CIF format:
```
data_FeOs2Au
_chemical_formula_sum 'Fe1 Os2 Au1'
_cell_length_a 3.870
_cell_length_b 3.870
_cell_length_c 3.873
_cell_angle_alpha 90.00
_cell_angle_beta 90.00
_cell_angle_gamma 90.00
_space_group_name_H-M_alt 'P 4/m m m'
_space_group_IT_number 123
_space_group_name_Hall '-P 4 2'
loop_
_atom_site_label
_atom_site_fract_x
_atom_site_fract_y
_atom_site_fract_z
Fe1 0.000 0.000 0.000
Os1 0.000 0.500 0.500
Au1 0.500 0.500 0.000
```

---

Version 2
The following is a DFT calculation (GGA-PBE) of crystalline FeOs2Au at its relaxed geometry.

Calculated values
N(E_F)   3.57 states/eV per cell

The structure in CIF format:
```
data_FeOs2Au
_chemical_formula_sum 'Fe1 Os2 Au1'
_cell_length_a 2.764
_cell_length_b 2.764
_cell_length_c 7.792
_cell_angle_alpha 90.00
_cell_angle_beta 90.00
_cell_angle_gamma 90.00
_space_group_name_H-M_alt 'P 4 m m'
_space_group_IT_number 99
loop_
_space_group_symop_operation_xyz
'x,y,z'
'-y,x,z'
'-x,-y,z'
'y,-x,z'
'-x,y,z'
'y,x,z'
'x,-y,z'
'-y,-x,z'
loop_
_atom_site_label
_atom_site_fract_x
_atom_site_fract_y
_atom_site_fract_z
Fe1 0.000 0.000 0.000
Os1 0.000 0.000 0.467
Os2 0.500 0.500 0.244
Au1 0.500 0.500 0.749
```

---

Which is most stable, and by how much? version 2, by 244 meV/atom.

---

Version 1
The following is a DFT calculation (GGA-PBE) of crystalline FeOs2Au at its relaxed geometry.

Calculated values
N(E_F)   6.66 states/eV per cell

The structure in CIF format:
```
data_FeOs2Au
_chemical_formula_sum 'Fe2 Os4 Au2'
_cell_length_a 9.051
_cell_length_b 2.768
_cell_length_c 4.780
_cell_angle_alpha 90.00
_cell_angle_beta 99.89
_cell_angle_gamma 90.00
_space_group_name_H-M_alt 'C 1 m 1'
_space_group_IT_number 8
loop_
_space_group_symop_operation_xyz
'x,y,z'
'x,-y,z'
'x+1/2,y+1/2,z'
'x+1/2,-y+1/2,z'
loop_
_atom_site_label
_atom_site_fract_x
_atom_site_fract_y
_atom_site_fract_z
Fe1 0.000 0.000 0.000
Os1 0.011 0.500 0.549
Os2 0.253 0.000 0.741
Au1 0.254 0.500 0.242
```

---

Version 2
The following is a DFT calculation (GGA-PBE) of crystalline FeOs2Au at its relaxed geometry.

Calculated values
N(E_F)   9.39 states/eV per cell

The structure in CIF format:
```
data_FeOs2Au
_chemical_formula_sum 'Fe2 Os4 Au2'
_cell_length_a 5.400
_cell_length_b 7.745
_cell_length_c 2.788
_cell_angle_alpha 90.00
_cell_angle_beta 90.00
_cell_angle_gamma 90.00
_space_group_name_H-M_alt 'C m m m'
_space_group_IT_number 65
_space_group_name_Hall '-C 2 2'
loop_
_atom_site_label
_atom_site_fract_x
_atom_site_fract_y
_atom_site_fract_z
Fe1 0.000 0.000 0.000
Os1 0.250 0.250 0.500
Au1 0.000 0.500 0.000
```

---

Which is most stable, and by how much? version 1, by 194 meV/atom.